1.
Compound: TbHo2Al7Ag2
Source: OQMD
Functional: PBE-GGA
Structure: relaxed

```
TbHo2Al7Ag2
1.0
-8.250 -4.337 -0.437
-7.281 -3.178 4.893
-9.177 0.770 1.500
Al Ho Tb Ag
7 2 1 2
Direct
0.588 0.076 0.588
0.412 0.412 0.924
0.924 0.412 0.412
0.076 0.588 0.588
0.500 0.500 0.500
0.412 0.924 0.412
0.588 0.588 0.076
0.858 0.858 0.858
0.142 0.142 0.142
0.000 0.000 0.000
0.664 0.664 0.664
0.336 0.336 0.336
```

=====

2.
Compound: CsErBr3
Source: OQMD
Functional: PBE-GGA
Structure: relaxed

```
CsErBr3
1.0
-3.974 3.125 -6.088
-8.977 1.335 6.546
2.545 7.181 2.025
Cs Br Er
4 12 4
Direct
0.495 0.250 0.498
0.505 0.750 0.502
0.005 0.750 0.998
0.995 0.250 0.002
0.244 0.497 0.244
0.256 0.997 0.744
0.001 0.750 0.494
0.501 0.750 0.006
0.244 0.003 0.244
0.999 0.250 0.506
0.756 0.997 0.756
0.256 0.503 0.744
0.744 0.497 0.256
0.499 0.250 0.994
0.756 0.503 0.756
0.744 0.003 0.256
0.000 0.000 0.500
0.500 0.000 0.000
0.000 0.500 0.500
0.500 0.500 0.000
```

=====

3.
Compound: DyNb2N3
Source: OQMD
Functional: PBE-GGA
Structure: relaxed

```
DyNb2N3
1.0
3.233 0.000 0.000
-1.617 2.800 0.000
0.000 0.000 7.860
N Dy Nb
3 1 2
Direct
0.333 0.667 0.312
0.667 0.333 0.688
0.000 0.000 0.000
0.000 0.000 0.500
0.667 0.333 0.153
0.333 0.667 0.847
```

=====

Q: Which electronic total energy values were calculated for the entries above? A: -4.261; -3.663; -9.480, in eV/atom.